# 1
K2SrPd PBE relaxed; symmetry = I-42d, No. 122; calculated formation energy = 0.29 eV/f.u.; theoretical density = 2.261 g cm⁻³; energy relative to the lowest polymorph listed for this composition = 0 meV/atom
1.0
-5.8754 -9.9923 0.9434
8.8392 -5.6693 -4.9982
2.6906 -8.2905 0.6316
Sr K Pd
2 4 2
Direct
0.5000 0.5000 0.0000
0.2500 0.7500 0.5000
0.7485 0.1250 0.2500
0.3750 0.2515 0.7500
0.8750 0.9985 0.7500
0.0015 0.6250 0.2500
0.0000 0.0000 0.0000
0.7500 0.2500 0.5000

# 2
NbCr2 PBE relaxed; symmetry = I-4m2, No. 119; calculated formation energy = 0.51 eV/f.u.; theoretical density = 7.569 g cm⁻³
1.0
6.5348 0.6553 4.2763
-3.7269 5.2851 4.4269
-3.2104 -7.0845 -0.9606
Nb Cr
8 16
Direct
0.5574 0.0574 0.5000
0.6635 0.6635 0.0000
0.9459 0.0541 0.5000
0.3365 0.3365 0.0000
0.9426 0.4426 0.5000
0.5541 0.4459 0.5000
0.9459 0.4459 0.8919
0.5541 0.0541 0.1081
0.3260 0.6628 0.6631
0.3372 0.0003 0.6631
0.2966 0.2966 0.5932
0.9997 0.6628 0.3369
0.7034 0.7034 0.4068
0.3372 0.6740 0.3369
0.1274 0.3770 0.2496
0.9166 0.7566 0.8400
0.6230 0.8726 0.7504
0.2966 0.7034 0.0000
0.9166 0.0766 0.1600
0.9234 0.0834 0.8400
0.1274 0.8779 0.7504
0.7034 0.2966 0.0000
0.2434 0.0834 0.1600
0.1221 0.8726 0.2496

# 3
LaZrN PBE relaxed; symmetry = P4/nmm, No. 129; energy relative to the elements, uncorrected = -374 meV/atom; theoretical density = 6.320 g cm⁻³
1.0
-3.2056 -1.7998 0.6144
1.4133 -1.4486 3.1300
-3.1528 7.2462 4.7773
La N Zr
2 2 2
Direct
0.5000 0.0000 0.1933
0.0000 0.5000 0.8067
0.5000 0.0000 0.6753
0.0000 0.5000 0.3247
0.5000 0.5000 0.5000
0.0000 0.0000 0.5000

# 4
NbIn2Ru PBE relaxed; symmetry = Fm-3m, No. 225; calculated formation energy = 0.99 eV/f.u.; theoretical density = 9.559 g cm⁻³
1.0
0.0000 3.3261 3.3261
3.3261 0.0000 3.3261
3.3261 3.3261 0.0000
In Nb Ru
2 1 1
Direct
0.2500 0.2500 0.2500
0.7500 0.7500 0.7500
0.0000 0.0000 0.0000
0.5000 0.5000 0.5000

# 5
BaTiIn2 PBE relaxed; symmetry = Fm-3m, No. 225; calculated formation energy = 0.59 eV/f.u.; theoretical density = 6.135 g cm⁻³; energy relative to the lowest polymorph listed for this composition = 0 meV/atom
1.0
-4.2525 -2.7035 -1.9826
-4.3329 2.7077 -1.7937
-1.0828 0.1691 -5.3031
In Ti Ba
2 1 1
Direct
0.7500 0.7500 0.7500
0.2500 0.2500 0.2500
0.0000 0.0000 0.0000
0.5000 0.5000 0.5000

# 6
Na3Tl2Pb5 PBE relaxed; symmetry = Ibam, No. 72; calculated formation energy = 0.18 eV/f.u.; theoretical density = 7.414 g cm⁻³; energy relative to the lowest polymorph listed for this composition = 15 meV/atom
1.0
9.5692 0.0000 -3.6373
-1.3616 8.9764 -3.5822
-1.8861 -1.8235 9.4442
Pb Tl Na
10 4 6
Direct
0.6371 0.8071 0.2743
0.4877 0.7377 0.4754
0.2500 0.5000 0.0000
0.7500 0.5000 0.0000
0.8629 0.5329 0.7257
0.9877 0.7377 0.4754
0.0123 0.2623 0.5246
0.5123 0.2623 0.5246
0.3629 0.1929 0.7257
0.1371 0.4671 0.2743
0.8687 0.8636 0.7375
0.6313 0.1262 0.2625
0.1313 0.1364 0.2625
0.3687 0.8738 0.7375
0.3778 0.5617 0.7555
0.8778 0.1938 0.7555
0.1222 0.8062 0.2445
0.2500 0.0000 0.0000
0.7500 0.0000 0.0000
0.6222 0.4383 0.2445